A plane-wave DFT calculation with PBE was carried out for AcMnPbSe4 after structural relaxation.

Values from the calculation:
ΔE_f (raw): -0.98 eV per atom
DOS at the Fermi energy: 1.74 states/eV/f.u.
spin magnetization: 0.69 μB per atom
uncorrected energy: -5.40 eV/atom

Lattice parameters (Å, degrees): 7.4352 6.1184 8.9823 90.00 107.31 90.00
Site moments in Bohr magnetons follow the coordinates.
Sites, in units of the cell vectors:
Ac 0.7328 0.7500 0.9332  0.04
Ac 0.2672 0.2500 0.0668  0.04
Mn 0.2491 0.7500 0.3173  3.99
Mn 0.7509 0.2500 0.6827  3.99
Pb 0.7235 0.7500 0.4281  0.01
Pb 0.2765 0.2500 0.5719  0.01
Se 0.0129 0.5125 0.7691  0.03
Se 0.9871 0.0125 0.2309  0.03
Se 0.9871 0.4875 0.2309  0.03
Se 0.0129 0.9875 0.7691  0.03
Se 0.4267 0.7500 0.1173  0.05
Se 0.5733 0.2500 0.8827  0.05
Se 0.4283 0.7500 0.5990  0.06
Se 0.5717 0.2500 0.4010  0.06



A plane-wave DFT calculation with PBE was carried out for Pa2CrCoN5 after structural relaxation.

Values from the calculation:
ΔE_f (raw): -0.95 eV per atom
DOS at the Fermi energy: 4.59 states/eV/f.u.
spin magnetization: 0.22 μB per atom
uncorrected energy: -9.54 eV/atom

Lattice parameters (Å, degrees): 3.2450 6.5845 9.7976 90.00 90.00 104.27
Site moments in Bohr magnetons follow the coordinates.
Sites, in units of the cell vectors:
Pa 0.8501 0.7001 0.8095  0.05
Pa 0.1015 0.2029 0.6810  0.03
Pa 0.1499 0.2999 0.3095  0.05
Pa 0.8985 0.7971 0.1810  0.03
Cr 0.7983 0.5966 0.5167  1.96
Cr 0.2017 0.4034 0.0167  1.96
Co 0.5307 0.0613 0.9536  -0.02
Co 0.4693 0.9387 0.4536  -0.02
N 0.3706 0.7411 0.0019  0.00
N 0.6774 0.3548 0.8759  0.00
N 0.4847 0.9693 0.7706  -0.01
N 0.2798 0.5597 0.6567  -0.03
N 0.9411 0.8823 0.5579  -0.07
N 0.6294 0.2589 0.5019  0.00
N 0.3226 0.6452 0.3759  0.00
N 0.5153 0.0307 0.2706  -0.01
N 0.7202 0.4403 0.1567  -0.03
N 0.0589 0.1177 0.0579  -0.07



A plane-wave DFT calculation with PBE was carried out for HoEr2OsO8 after structural relaxation.

Values from the calculation:
ΔE_f (raw): -2.57 eV per atom
DOS at the Fermi energy: 2.48 states/eV/f.u.
spin magnetization: 0.09 μB per atom
uncorrected energy: -7.95 eV/atom

Lattice parameters (Å, degrees): 5.0062 5.0004 6.7181 90.00 90.00 90.45
Site moments in Bohr magnetons follow the coordinates.
Sites, in units of the cell vectors:
Ho 0.0000 0.0000 0.5000  0.04
Er 0.5000 0.5000 0.7460  0.03
Er 0.5000 0.5000 0.2540  0.03
Os 0.0000 0.0000 0.0000  0.70
O 0.1839 0.8152 0.2109  0.06
O 0.7329 0.7336 0.0000  -0.01
O 0.8161 0.1848 0.2109  0.06
O 0.8161 0.1848 0.7891  0.06
O 0.2671 0.2664 0.0000  -0.01
O 0.1839 0.8152 0.7891  0.06
O 0.6917 0.6924 0.5000  0.00
O 0.3083 0.3076 0.5000  0.00



A plane-wave DFT calculation with PBE was carried out for UReGe after structural relaxation.

Values from the calculation:
DOS at the Fermi energy: 3.83 states/eV/f.u.
spin magnetization: 0.00 μB per atom
ΔH_f (0 K): -217 meV per atom
uncorrected energy: -9.67 eV/atom

Lattice parameters (Å, degrees): 4.1935 4.1975 6.5659 90.00 68.13 90.00
Sites, in units of the cell vectors:
U 0.7060 0.5000 0.6689
U 0.2940 0.5000 0.3311
Re 0.0000 0.5000 0.0000
Re 0.5000 0.0000 0.0000
Ge 0.1597 0.0000 0.7267
Ge 0.8403 0.0000 0.2733